A plane-wave DFT calculation with PBE-GGA was carried out for a relaxed PrGdNi crystal.

total energy = -8.3248 eV per atom
ρ = 6.83 g/cm3
formation energy from the elements = -111 meV/atom
SG = P3m1
distance to the lowest polymorph of the same formula = 46 meV/atom

abc: 3.948 3.948 6.426
angles: 90.00 90.00 120.00
Element x y z (fractional)
Pr: 0.000 0.000 0.000
Gd: 0.667 0.333 0.508
Ni: 0.333 0.667 0.744